1.
A relaxed structure of Ba2AlCu2. Source: Alexandria, functional PBE.

extended XYZ file:
```
10
Lattice="8.0394 0.0000 0.0000 0.0000 8.0394 0.0000 0.0000 0.0000 4.4500" Properties=species:S:1:pos:R:3 pbc="T T T"
Ba 1.5032 2.5165 0.0000
Ba 2.5165 6.5362 0.0000
Ba 5.5230 1.5032 0.0000
Ba 6.5362 5.5230 0.0000
Al 0.0000 0.0000 2.2250
Al 4.0197 4.0197 2.2250
Cu 0.8850 4.9047 2.2250
Cu 3.1347 0.8850 2.2250
Cu 4.9047 7.1544 2.2250
Cu 7.1544 3.1347 2.2250
```

Values from the calculation:
density of states at the Fermi level = 5.35 states/eV per cell
magnetic moment = 0.0 Bohr magnetons per cell
energy relative to the elements = 0.22 eV per formula unit

=====

2.
A relaxed structure of Ba2AlCu2. Source: Alexandria, functional PBE.

extended XYZ file:
```
5
Lattice="2.1787 1.2579 9.7803 -2.1787 1.2579 9.7803 0.0000 -2.5158 9.7803" Properties=species:S:1:pos:R:3 pbc="T T T"
Ba 0.0000 0.0000 2.1522
Ba 0.0000 0.0000 27.1886
Al 0.0000 0.0000 14.6704
Cu 0.0000 0.0000 5.2884
Cu 0.0000 0.0000 24.0525
```

Values from the calculation:
density of states at the Fermi level = 3.60 states/eV per cell
magnetic moment = 0.0 Bohr magnetons per cell
energy relative to the elements = -0.78 eV per formula unit

=====

3.
A relaxed structure of BaAl2Cu. Source: Alexandria, functional PBE.

extended XYZ file:
```
4
Lattice="2.8969 -5.3391 0.0000 2.8969 5.3391 0.0000 0.0000 0.0000 3.1419" Properties=species:S:1:pos:R:3 pbc="T T T"
Ba 0.0000 0.0000 0.0000
Al 1.4484 2.6695 1.5709
Al 1.4484 -2.6695 1.5709
Cu 2.8969 0.0000 0.0000
```

Values from the calculation:
density of states at the Fermi level = 1.87 states/eV per cell
magnetic moment = 0.0 Bohr magnetons per cell
energy relative to the elements = 1.78 eV per formula unit

=====

4.
A relaxed structure of BaAl2Cu. Source: Alexandria, functional PBE.

extended XYZ file:
```
4
Lattice="3.6216 0.0000 0.0000 0.0000 4.2921 0.0000 -1.7904 0.0000 6.4222" Properties=species:S:1:pos:R:3 pbc="T T T"
Ba 0.0000 0.0000 0.0000
Al 0.0038 2.1461 3.7931
Al 1.8115 0.0000 3.0566
Cu 1.8117 2.1461 1.9739
```

Values from the calculation:
density of states at the Fermi level = 2.97 states/eV per cell
magnetic moment = 0.0 Bohr magnetons per cell
energy relative to the elements = -0.05 eV per formula unit

=====

5.
A relaxed structure of BaAlCu. Source: Alexandria, functional PBE.

extended XYZ file:
```
3
Lattice="4.3717 0.0000 0.0000 -2.1859 3.7860 0.0000 0.0000 0.0000 5.1075" Properties=species:S:1:pos:R:3 pbc="T T T"
Ba 0.0000 0.0000 0.0000
Al 0.0000 2.5240 2.5537
Cu 2.1859 1.2620 2.5537
```

Values from the calculation:
density of states at the Fermi level = 2.87 states/eV per cell
magnetic moment = 0.1 Bohr magnetons per cell
energy relative to the elements = -0.20 eV per formula unit

=====

6.
A relaxed structure of Ba3Al2Cu2F16. Source: Alexandria, functional PBE.

extended XYZ file:
```
46
Lattice="7.5029 0.0000 0.0000 0.0000 5.3922 0.0000 -1.9368 0.0000 16.0975" Properties=species:S:1:pos:R:3 pbc="T T T"
Ba 0.9747 0.0000 1.8503
Ba 0.8698 4.9875 8.5349
Ba 0.7412 5.2961 13.1314
Ba 4.8250 2.6000 2.9661
Ba 4.6964 2.2914 7.5626
Ba 4.5915 2.6961 14.2472
Al -0.6777 2.2519 10.6074
Al 0.5936 2.5579 15.7124
Al 4.9726 5.2540 0.3851
Al 6.2439 4.9480 5.4902
Cu 1.0301 2.4330 4.9142
Cu 2.6353 5.0136 5.3034
Cu 2.9309 2.3175 10.7941
Cu 4.5361 5.1291 11.1833
F -0.4251 3.3137 5.8960
F -0.0138 1.9913 3.3752
F -1.0568 1.9863 12.3454
F -0.2999 2.3450 8.7922
F 0.3070 0.3959 5.8589
F -0.7362 1.4279 15.2325
F -0.4685 3.9886 15.4312
F 0.2538 3.7613 10.9051
F 0.8601 1.2472 10.7933
F 2.1187 2.4373 1.3536
F 2.3244 4.0618 3.6966
F 2.1867 3.2848 6.2532
F 1.2863 2.6632 14.0605
F 2.5234 1.3025 4.2615
F 1.6277 0.9733 15.9293
F 2.8962 0.4360 6.9833
F 2.6700 3.1321 9.1142
F 3.9385 3.6694 0.1683
F 3.0428 3.9986 11.8360
F 4.2799 5.3593 2.0370
F 3.3795 0.5887 9.8443
F 3.2418 1.3657 12.4009
F 3.4474 5.1334 14.7439
F 4.7061 3.9433 5.3042
F 5.3124 1.0653 5.1924
F 6.0347 1.2925 0.6663
F 6.3024 4.1240 0.8650
F 5.2592 3.0920 10.2386
F 5.8661 5.0411 7.3053
F 6.6230 4.6824 3.7521
F 5.5800 4.6874 12.7223
F 5.9913 0.6177 10.2016
```

Values from the calculation:
magnetic moment = 4.0 Bohr magnetons per cell
energy relative to the elements, uncorrected = -3.186 eV/atom